[1]
VASP calculation (PBE) on TcAgB2 after structural relaxation.

Properties
distance to the lowest polymorph of the same formula = 0.000 eV/atom
E_form = 0.86 eV per atom
magnetization = 0.0 μB per formula unit
raw total energy = -5.781 eV/atom

Unit cell a=3.9478 b=3.9478 c=3.9478 alpha=60.00 beta=60.00 gamma=60.00
Element x y z (fractional)
B 0.2500 0.2500 0.2500
B 0.7500 0.7500 0.7500
Tc 0.0000 0.0000 0.0000
Ag 0.5000 0.5000 0.5000

[2]
VASP calculation (PBE) on Zr2CrSe after structural relaxation.

Properties
formation energy from raw total energies = -0.4321 eV/atom
magnetization = 0.7 μB per formula unit
raw total energy = -7.983 eV/atom

Unit cell a=4.2445 b=3.4607 c=5.2771 alpha=70.85 beta=90.00 gamma=90.00
Element x y z (fractional)
Cr 0.0000 0.7144 0.4493
Zr 0.5000 0.2654 0.3445
Zr 0.0000 0.9750 0.9230
Se 0.5000 0.5452 0.7832

[3]
VASP calculation (PBE) on ScTaAl after structural relaxation.

Properties
distance to the lowest polymorph of the same formula = 0.096 eV/atom
E_form = -0.13 eV per atom
magnetization = 0.0 μB per formula unit
raw total energy = -7.436 eV/atom

Unit cell a=5.3013 b=5.3013 c=5.3013 alpha=146.67 beta=136.40 gamma=55.96
Element x y z (fractional)
Sc 0.3357 0.3357 0.0000
Al 0.0072 0.0072 0.0000
Ta 0.6571 0.6571 0.0000

[4]
VASP calculation (PBE) on PuNpPd6 after structural relaxation.

Properties
E_form = -0.51 eV per atom
magnetization = 8.0 μB per formula unit
raw total energy = -7.812 eV/atom

Unit cell a=4.1457 b=4.1457 c=8.2867 alpha=90.00 beta=90.00 gamma=90.00
Element x y z (fractional)
Pd 0.5000 0.5000 0.0000
Pd 0.0000 0.5000 0.7529
Pd 0.5000 0.0000 0.2471
Pd 0.5000 0.5000 0.5000
Pd 0.0000 0.5000 0.2471
Pd 0.5000 0.0000 0.7529
Pu 0.0000 0.0000 0.5000
Np 0.0000 0.0000 0.0000